No. 1
Here is a relaxed structure of InIF6 from the Alexandria database. Energies are from PBE-GGA.

Results
Raw formation energy ... -14.567 eV/f.u.

```
InIF6
1.0
5.057 -0.061 0.262
2.479 4.720 -0.386
2.771 1.025 5.789
F In I
6 1 1
Cartesian
4.305 1.834 1.227
1.573 0.304 1.138
6.690 3.520 1.628
8.733 5.380 4.527
3.616 2.164 4.037
6.001 3.850 4.437
0.000 0.000 0.000
5.153 2.842 2.832
```

---

No. 2
Here is a relaxed structure of Mn2SiAu2 from the Alexandria database. Energies are from PBE-GGA.

Results
Raw formation energy ... 2.256 eV/f.u.
Relative energy among the computed polymorphs ... 1.39 eV/f.u.

```
Mn2SiAu2
1.0
3.726 0.000 0.000
0.000 3.726 0.000
1.863 1.863 6.783
Mn Au Si
2 2 1
Cartesian
1.863 1.863 1.287
3.726 3.726 5.496
1.863 3.726 3.392
3.726 1.863 3.392
0.000 0.000 0.000
```

---

No. 3
Here is a relaxed structure of Y2Ga3SnPt4 from the Alexandria database. Energies are from PBE-GGA.

Results
Formation enthalpy at 0 K ... -0.922 eV per atom

```
Y2Ga3SnPt4
1.0
4.141 0.000 0.000
0.000 4.141 0.000
0.000 0.000 11.303
Pt Y Sn Ga
4 2 1 3
Cartesian
0.000 2.070 3.923
2.070 0.000 7.381
0.000 0.000 0.000
2.070 2.070 0.000
2.070 0.000 2.754
0.000 2.070 8.549
2.070 2.070 5.652
0.000 0.000 5.652
0.000 2.070 1.480
2.070 0.000 9.823
```

---

No. 4
Here is a relaxed structure of CuSeBr2 from the Alexandria database. Energies are from PBE-GGA.

Results
Raw formation energy ... -0.535 eV/f.u.
Relative energy among the computed polymorphs ... 0.13 eV/f.u.

```
CuSeBr2
1.0
-1.855 -7.374 -3.127
2.323 -4.187 -6.684
1.174 3.974 7.101
Br Cu Se
2 1 1
Cartesian
-0.275 -3.330 0.604
0.422 -10.429 -8.850
0.249 -6.161 -5.228
1.947 -5.009 -3.952
```

---

| no. | DOS(E_F) (states/eV per cell) |
| --- | --- |
| 1 | 0.00 |
| 2 | 3.65 |
| 3 | 4.34 |
| 4 | 2.55 |